ZnTcPd2: optimized geometry, PBE-GGA.

## Properties
The density of states at the Fermi level comes out at 0.78 states/eV per atom. As for the energy of formation from the pure elements: -182 meV per atom.

a = 2.768 Å, b = 2.768 Å, c = 7.607 Å
α = 90.00°, β = 90.00°, γ = 90.00°
Space group P4/mmm (No. 123)
Asymmetric unit:
Zn1 0.000 0.000 0.000 (multiplicity 1)
Tc1 0.000 0.000 0.500 (multiplicity 1)
Pd1 0.500 0.500 0.244 (multiplicity 2)